Here is crystalline Zr2Sn2O at its relaxed geometry from Alexandria via LeMat-Bulk. Energies are from PBE-GGA.

The calculation puts the formation energy from raw total energies at -1.08 eV per atom. The total energy comes out at -7.096 eV/atom.

Lattice parameters (Å, degrees): 6.113 6.113 5.398 90.00 90.00 90.00
Sites, in units of the cell vectors:
O 0.500 0.500 0.000
Zr 0.820 0.680 0.000
Sn 0.177 0.677 0.500
Sn 0.677 0.823 0.500
Zr 0.680 0.180 0.000
Zr 0.320 0.820 0.000
Sn 0.323 0.177 0.500
Zr 0.180 0.320 0.000
O 0.000 0.000 0.000
Sn 0.823 0.323 0.500